[1]
CdP2Ir: relaxed, PBE.

Unit cell a=3.4272 b=3.4272 c=5.7065 alpha=90.00 beta=90.00 gamma=90.00
With the nearest neighbours (Å) after each atom.
Fractional positions:
Cd  0.0000  0.0000  0.0000  2 Ir 2.85, 8 P 3.00
P  0.5000  0.5000  0.3090  1 P 2.18
P  0.5000  0.5000  0.6910  1 P 2.18
Ir  0.0000  0.0000  0.5000  8 P 2.66, 2 Cd 2.85

Output
The calculation puts the calculated volume at 67.0 Å³/f.u. The calculation puts the energy of formation from the pure elements at 0.222 eV per atom. Its space group is P4/mmm (123). For the density of states at the Fermi level, the calculation gives 3.0 states/eV/f.u. The total moment comes out at 0.000 μB/atom.

---

[2]
AcTbEuTh: relaxed, PBE.

Unit cell a=5.9492 b=5.9492 c=5.9492 alpha=60.00 beta=60.00 gamma=60.00
With the nearest neighbours (Å) after each atom.
Fractional positions:
Ac  0.0000  0.0000  0.0000  4 Eu 3.64, 4 Th 3.64
Tb  0.5000  0.5000  0.5000  4 Eu 3.64, 4 Th 3.64
Eu  0.7500  0.7500  0.7500  4 Tb 3.64, 4 Ac 3.64
Th  0.2500  0.2500  0.2500  4 Tb 3.64, 4 Ac 3.64

Output
The calculation puts the calculated volume at 148.9 Å³/f.u. The calculation puts the energy of formation from the pure elements at 0.260 eV per atom. Its space group is F-43m (216). For the density of states at the Fermi level, the calculation gives 8.1 states/eV/f.u. The total moment comes out at 1.465 μB/atom.

---

[3]
In2TcTe: relaxed, PBE.

Unit cell a=10.9279 b=10.9279 c=10.9279 alpha=17.55 beta=17.55 gamma=17.55
With the nearest neighbours (Å) after each atom.
Fractional positions:
In  0.0000  0.0000  0.0000  3 Tc 2.90
In  0.2501  0.2501  0.2501  9 In 3.30-3.33
Tc  0.7339  0.7339  0.7339  3 Te 2.61, 3 In 2.90
Te  0.4553  0.4553  0.4553  3 Tc 2.61

Output
The electronic total energy comes out at -18.55 eV per cell. The calculation puts the calculated volume at 103.6 Å³/f.u. Its space group is R3m (160). For the density of states at the Fermi level, the calculation gives 3.2 states/eV/f.u. The total moment comes out at 0.000 μB/atom.

---

[4]
SmDy6Th: relaxed, PBE.

Unit cell a=6.5501 b=6.7380 c=6.8119 alpha=61.48 beta=79.03 gamma=89.33
With the nearest neighbours (Å) after each atom.
Fractional positions:
Sm  0.0000  0.0000  0.0000  2 Th 3.28, 4 Dy 3.39-3.47
Dy  0.2327  0.5741  0.5183  6 Dy 3.24-3.63, 1 Th 3.44
Dy  0.2526  0.5431  0.0043  5 Dy 3.24-3.58, 1 Sm 3.47, 1 Th 3.48
Dy  0.2702  0.0901  0.4833  4 Dy 3.24-3.38, 1 Sm 3.39
Dy  0.7298  0.9099  0.5167  4 Dy 3.24-3.38, 1 Sm 3.39
Dy  0.7474  0.4569  0.9957  5 Dy 3.24-3.58, 1 Sm 3.47, 1 Th 3.48
Dy  0.7673  0.4259  0.4817  6 Dy 3.24-3.63, 1 Th 3.44
Th  0.5000  0.0000  0.0000  2 Sm 3.28, 4 Dy 3.44-3.48

Output
The calculation puts the calculated volume at 258.2 Å³/f.u. The calculation puts the energy of formation from the pure elements at 0.224 eV per atom. Its space group is P-1 (2). For the density of states at the Fermi level, the calculation gives 14.6 states/eV/f.u. The total moment comes out at 0.000 μB/atom.